Computed, not measured: a geometry-optimized NaAc2MnS6 structure at the PBE-GGA level of DFT.

a b c (Å): 6.0552 7.6427 11.4398
angles (deg): 90.00 120.78 90.00
Space group P2_1/c (No. 14)
Symmetry-distinct sites (fractional):
Na (0.0000, 0.0000, 0.0000) (multiplicity 2)
Ac (0.3031, 0.1000, 0.7516) (multiplicity 4)
Mn (0.5000, 0.0000, 0.5000) (multiplicity 2)
S (0.1983, 0.0219, 0.2675) (multiplicity 4)
S (0.2084, 0.6660, 0.0344) (multiplicity 4)
S (0.3976, 0.2163, 0.0425) (multiplicity 4)

## Properties
uncorrected formation energy	-1355	meV per atom
VASP energy	-5.7024	eV per atom

***

Computed, not measured: a geometry-optimized Na3Ac3MnSe8 structure at the PBE-GGA level of DFT.

a b c (Å): 8.7341 8.7341 21.0941
angles (deg): 90.00 90.00 120.00
Space group R-3m (No. 166, hexagonal axes)
Symmetry-distinct sites (fractional):
Na (0.0000, 0.5000, 0.0000) (multiplicity 9)
Ac (0.0000, 0.5000, 0.5000) (multiplicity 9)
Mn (0.0000, 0.0000, 0.5000) (multiplicity 3)
Se (0.0000, 0.0000, 0.2498) (multiplicity 6)
Se (0.0521, 0.5261, 0.2383) (multiplicity 18)

## Properties
uncorrected formation energy	-1382	meV per atom
VASP energy	-4.9372	eV per atom

***

Computed, not measured: a geometry-optimized Na3Ac2MnSe6 structure at the PBE-GGA level of DFT.

a b c (Å): 7.4398 12.9347 7.4390
angles (deg): 90.00 109.41 90.00
Space group C2/m (No. 12)
Symmetry-distinct sites (fractional):
Na (0.0000, 0.0000, 0.0000) (multiplicity 2)
Na (0.0000, 0.3348, 0.0000) (multiplicity 4)
Ac (0.0000, 0.1692, 0.5000) (multiplicity 4)
Mn (0.0000, 0.5000, 0.5000) (multiplicity 2)
Se (0.2087, 0.5000, 0.2855) (multiplicity 4)
Se (0.2335, 0.3492, 0.7402) (multiplicity 8)

## Properties
uncorrected formation energy	-1315	meV per atom
VASP energy	-4.8359	eV per atom

***

Computed, not measured: a geometry-optimized Na2AcMnSe4 structure at the PBE-GGA level of DFT.

a b c (Å): 7.9254 8.9509 12.1783
angles (deg): 90.00 90.00 90.00
Space group Imma (No. 74)
Symmetry-distinct sites (fractional):
Na (0.0000, 0.0000, 0.0000) (multiplicity 4)
Na (0.2500, 0.2500, 0.2500) (multiplicity 4)
Ac (0.0000, 0.0000, 0.5000) (multiplicity 4)
Mn (0.2500, 0.2500, 0.7500) (multiplicity 4)
Se (0.0000, 0.0663, 0.7553) (multiplicity 8)
Se (0.2418, 0.2500, 0.0122) (multiplicity 8)

## Properties
uncorrected formation energy	-1134	meV per atom
VASP energy	-4.8659	eV per atom